Here is a relaxed RbTaBe crystal from the Alexandria database. Energies are from GGA-PBE.

- Offset from the most stable computed form: 0.160 eV per atom
- Formation energy: 611 meV/atom
- DOS(E_F): 0.102 states/eV/f.u.
- Total energy: -4.9044 eV/atom
- Magnetization: 0.00 Bohr magnetons per cell

Lattice parameters (Å, degrees): 4.3956 4.3976 11.9340 90.84 89.99 120.00
Element x y z (fractional)
Ta 0.6665 0.3331 0.4982
Ta 0.3335 0.6669 0.5018
Rb 0.6754 0.3518 0.8030
Rb 0.3246 0.6482 0.1970
Be 0.0017 0.0036 0.5861
Be 0.9983 0.9964 0.4138

***

Here is a relaxed Tl3GaW crystal from the Alexandria database. Energies are from GGA-PBE.

- Offset from the most stable computed form: 0.621 eV per atom
- Formation energy: 1420 meV/atom
- DOS(E_F): 2.860 states/eV/f.u.
- Total energy: -3.1954 eV/atom
- Magnetization: 4.56 Bohr magnetons per cell

Lattice parameters (Å, degrees): 5.3664 5.3664 5.3664 90.00 90.00 90.00
Last column: magnetic moment on the atom in μB.
Element x y z (fractional)
Ga 0.0000 0.0000 0.0000  0.03
Tl 0.0000 0.5000 0.0000  -0.01
Tl 0.5000 0.0000 0.0000  0.00
Tl 0.0000 0.0000 0.5000  0.03
W 0.5000 0.5000 0.5000  3.27

***

Here is a relaxed Ba4USe6 crystal from the Alexandria database. Energies are from GGA-PBE.

- Formation energy from raw total energies: -1.8183 eV/atom
- DOS(E_F): 6.108 states/eV/f.u.
- Total energy: -5.4444 eV/atom
- Magnetization: 4.00 Bohr magnetons per cell

Lattice parameters (Å, degrees): 9.0801 9.0801 9.0801 89.47 89.47 89.47
Last column: magnetic moment on the atom in μB.
Element x y z (fractional)
Se 0.2022 0.4227 0.5615  -0.03
Se 0.9227 0.7022 0.0615  -0.03
Se 0.0615 0.9227 0.7022  -0.03
Se 0.9385 0.0773 0.2978  -0.03
Se 0.5615 0.2022 0.4227  -0.03
Se 0.4227 0.5615 0.2022  -0.03
Se 0.4385 0.7978 0.5773  -0.03
Se 0.7978 0.5773 0.4385  -0.03
Se 0.0773 0.2978 0.9385  -0.03
Se 0.2978 0.9385 0.0773  -0.03
Se 0.5773 0.4385 0.7978  -0.03
Se 0.7022 0.0615 0.9227  -0.03
U 0.5000 0.5000 0.5000  2.07
U 0.0000 0.0000 0.0000  2.07
Ba 0.7500 0.3758 0.1242  0.00
Ba 0.6242 0.8758 0.2500  0.00
Ba 0.2500 0.2500 0.2500  0.01
Ba 0.8758 0.2500 0.6242  0.00
Ba 0.7500 0.7500 0.7500  0.01
Ba 0.3758 0.1242 0.7500  0.00
Ba 0.2500 0.6242 0.8758  0.00
Ba 0.1242 0.7500 0.3758  0.00

***

Here is a relaxed LiTc2 crystal from the Alexandria database. Energies are from GGA-PBE.

- Offset from the most stable computed form: 0.101 eV per atom
- Formation energy: 200 meV/atom
- DOS(E_F): 3.016 states/eV/f.u.
- Total energy: -7.3487 eV/atom
- Magnetization: 0.00 Bohr magnetons per cell

Lattice parameters (Å, degrees): 4.8921 4.8921 4.8921 143.29 143.29 52.90
Element x y z (fractional)
Tc 0.8242 0.8242 0.0000
Tc 0.1758 0.1758 0.0000
Li 0.5000 0.5000 0.0000

***

Here is a relaxed LaTb2ThBi5 crystal from the Alexandria database. Energies are from GGA-PBE.

- Formation energy: 127 meV/atom
- DOS(E_F): 6.109 states/eV/f.u.
- Total energy: -4.4302 eV/atom
- Magnetization: 0.00 Bohr magnetons per cell

Lattice parameters (Å, degrees): 5.7134 5.7134 12.1814 90.00 90.00 90.00
Element x y z (fractional)
La 0.0000 0.0000 0.0000
Bi 0.0000 0.0000 0.7534
Bi 0.5000 0.5000 0.0000
Bi 0.5000 0.0000 0.5000
Bi 0.0000 0.5000 0.5000
Bi 0.0000 0.0000 0.2466
Tb 0.5000 0.5000 0.2645
Tb 0.5000 0.5000 0.7355
Th 0.0000 0.0000 0.5000

***

Here is a relaxed LiMgTaN3 crystal from the Alexandria database. Energies are from GGA-PBE.

- Formation energy from raw total energies: -0.7500 eV/atom
- DOS(E_F): 3.537 states/eV/f.u.
- Total energy: -7.4729 eV/atom
- Magnetization: 0.00 Bohr magnetons per cell

Lattice parameters (Å, degrees): 3.1184 7.5630 5.4699 90.55 90.00 90.00
Element x y z (fractional)
N 0.2500 0.8162 0.4048
N 0.7500 0.8113 0.9344
N 0.7500 0.1838 0.5952
N 0.2500 0.1887 0.0656
N 0.2500 0.4962 0.7667
N 0.7500 0.5038 0.2333
Li 0.7500 0.0031 0.2669
Li 0.2500 0.9969 0.7331
Mg 0.2500 0.3268 0.4129
Mg 0.7500 0.6732 0.5871
Ta 0.7500 0.3126 0.9032
Ta 0.2500 0.6874 0.0968

***

Here is a relaxed Te2IrI crystal from the Alexandria database. Energies are from GGA-PBE.

- Formation energy from raw total energies: -0.1102 eV/atom
- Offset from the most stable computed form: 0.071 eV per atom
- DOS(E_F): 0.000 states/eV/f.u.
- Total energy: -4.2838 eV/atom
- Magnetization: 0.00 Bohr magnetons per cell

Lattice parameters (Å, degrees): 9.9168 3.8692 14.1300 90.00 90.00 90.00
Element x y z (fractional)
Ir 0.4849 0.7500 0.5775
Ir 0.0151 0.2500 0.0775
Ir 0.9849 0.7500 0.9225
Ir 0.5151 0.2500 0.4225
Te 0.6239 0.7500 0.3207
Te 0.3761 0.2500 0.6793
Te 0.1239 0.7500 0.1793
Te 0.1702 0.2500 0.9320
Te 0.3298 0.7500 0.4320
Te 0.6702 0.2500 0.5680
Te 0.8761 0.2500 0.8207
Te 0.8298 0.7500 0.0680
I 0.0945 0.2500 0.6185
I 0.4055 0.7500 0.1185
I 0.5945 0.2500 0.8815
I 0.9055 0.7500 0.3815

***

Here is a relaxed CaTbYAl crystal from the Alexandria database. Energies are from GGA-PBE.

- Formation energy: -65 meV/atom
- DOS(E_F): 2.972 states/eV/f.u.
- Total energy: -4.2743 eV/atom
- Magnetization: 0.00 Bohr magnetons per cell

Lattice parameters (Å, degrees): 5.4019 5.4019 5.4019 60.00 60.00 60.00
Element x y z (fractional)
Tb 0.5000 0.5000 0.5000
Ca 0.2500 0.2500 0.2500
Al 0.7500 0.7500 0.7500
Y 0.0000 0.0000 0.0000

***

Here is a relaxed Sr3SnN crystal from the Alexandria database. Energies are from GGA-PBE.

- Formation energy from raw total energies: -0.3594 eV/atom
- DOS(E_F): 0.000 states/eV/f.u.
- Total energy: -3.8341 eV/atom
- Magnetization: 0.00 Bohr magnetons per cell

Lattice parameters (Å, degrees): 9.8509 9.8509 9.8509 60.00 60.00 60.00
Element x y z (fractional)
Sr 0.2009 0.7991 0.2009
Sr 0.4509 0.4509 0.0491
Sr 0.7991 0.2009 0.7991
Sr 0.7991 0.7991 0.2009
Sr 0.0491 0.4509 0.4509
Sr 0.0491 0.0491 0.4509
Sr 0.2009 0.7991 0.7991
Sr 0.2009 0.2009 0.7991
Sr 0.0491 0.4509 0.0491
Sr 0.4509 0.0491 0.4509
Sr 0.4509 0.0491 0.0491
Sr 0.7991 0.2009 0.2009
N 0.1250 0.1250 0.1250
N 0.1250 0.6250 0.1250
N 0.1250 0.1250 0.6250
N 0.6250 0.1250 0.1250
Sn 0.6250 0.6250 0.1250
Sn 0.1250 0.6250 0.6250
Sn 0.6250 0.6250 0.6250
Sn 0.6250 0.1250 0.6250

***

Here is a relaxed Tl12As5Pb3 crystal from the Alexandria database. Energies are from GGA-PBE.

- Formation energy: 164 meV/atom
- DOS(E_F): 11.009 states/eV/f.u.
- Total energy: -2.9747 eV/atom
- Magnetization: 0.00 Bohr magnetons per cell

Lattice parameters (Å, degrees): 15.2927 15.2927 15.2927 109.47 109.47 109.47
Element x y z (fractional)
Tl 0.4533 0.6740 0.0813
Tl 0.2207 0.6740 0.0927
Tl 0.9073 0.0813 0.6279
Tl 0.0467 0.6279 0.7207
Tl 0.0813 0.1740 0.4533
Tl 0.8260 0.9187 0.0467
Tl 0.0927 0.9187 0.3721
Tl 0.0813 0.9073 0.1279
Tl 0.7793 0.3260 0.9073
Tl 0.5467 0.2207 0.1279
Tl 0.7793 0.4533 0.3721
Tl 0.4533 0.7793 0.8721
Tl 0.6279 0.0467 0.2207
Tl 0.0927 0.1740 0.2207
Tl 0.2207 0.5467 0.6279
Tl 0.9187 0.8260 0.5467
Tl 0.6740 0.2207 0.5927
Tl 0.3721 0.9533 0.7793
Tl 0.3260 0.7793 0.4073
Tl 0.2793 0.4073 0.8260
Tl 0.3260 0.5467 0.4187
Tl 0.4187 0.0467 0.3260
Tl 0.7207 0.5927 0.1740
Tl 0.4073 0.2793 0.3260
Tl 0.1740 0.0927 0.7207
Tl 0.8721 0.2793 0.4533
Tl 0.9533 0.3721 0.2793
Tl 0.5467 0.3260 0.9187
Tl 0.5813 0.9533 0.6740
Tl 0.4187 0.3721 0.5927
Tl 0.5813 0.6279 0.4073
Tl 0.4073 0.1279 0.5813
Tl 0.5927 0.8721 0.4187
Tl 0.3721 0.4187 0.0927
Tl 0.8260 0.9073 0.2793
Tl 0.8721 0.5927 0.9187
Tl 0.9187 0.0927 0.8721
Tl 0.1279 0.7207 0.5467
Tl 0.6740 0.4533 0.5813
Tl 0.9533 0.5813 0.1740
Tl 0.1279 0.4073 0.0813
Tl 0.6279 0.5813 0.9073
Tl 0.5927 0.7207 0.6740
Tl 0.9073 0.8260 0.7793
Tl 0.7207 0.1279 0.0467
Tl 0.0467 0.4187 0.8260
Tl 0.2793 0.8721 0.9533
Tl 0.1740 0.0813 0.9533
As 0.0000 0.0000 0.0000
As 0.2500 0.3750 0.6250
As 0.3750 0.1250 0.7500
As 0.0000 0.0000 0.5000
As 0.0000 0.5000 0.5000
As 0.7500 0.1250 0.8750
As 0.5000 0.5000 0.0000
As 0.0000 0.5000 0.0000
As 0.6250 0.8750 0.2500
As 0.8750 0.2500 0.6250
As 0.5000 0.0000 0.0000
As 0.2500 0.8750 0.1250
As 0.8750 0.6250 0.7500
As 0.1250 0.7500 0.3750
As 0.6250 0.7500 0.8750
As 0.7500 0.6250 0.3750
As 0.5000 0.0000 0.5000
As 0.1250 0.3750 0.2500
As 0.5000 0.5000 0.5000
As 0.3750 0.2500 0.1250
Pb 0.1250 0.2500 0.8750
Pb 0.2500 0.1250 0.3750
Pb 0.6250 0.2500 0.3750
Pb 0.7500 0.8750 0.6250
Pb 0.6250 0.3750 0.7500
Pb 0.3750 0.7500 0.6250
Pb 0.7500 0.3750 0.1250
Pb 0.3750 0.6250 0.2500
Pb 0.2500 0.6250 0.8750
Pb 0.8750 0.7500 0.1250
Pb 0.1250 0.8750 0.7500
Pb 0.8750 0.1250 0.2500

***

Here is a relaxed Pr4Nd8Ho3 crystal from the Alexandria database. Energies are from GGA-PBE.

- Offset from the most stable computed form: 0.219 eV per atom
- Formation energy: 332 meV/atom
- DOS(E_F): 28.668 states/eV/f.u.
- Total energy: -4.4013 eV/atom
- Magnetization: 0.00 Bohr magnetons per cell

Lattice parameters (Å, degrees): 6.9080 9.4769 9.4769 86.70 111.45 111.45
Element x y z (fractional)
Nd 0.0114 0.7255 0.7255
Nd 0.9886 0.2745 0.2745
Nd 0.5000 0.7452 0.2548
Nd 0.0000 0.3546 0.6454
Nd 0.0000 0.6454 0.3546
Nd 0.4992 0.2602 0.2602
Nd 0.5000 0.2548 0.7452
Nd 0.5008 0.7398 0.7398
Ho 0.5000 0.5000 0.0000
Ho 0.5000 0.5000 0.5000
Ho 0.5000 0.0000 0.5000
Pr 0.0000 0.0000 0.5000
Pr 0.0000 0.5000 0.0000
Pr 0.5000 0.0000 0.0000
Pr 0.0000 0.0000 0.0000

***

Here is a relaxed Ho5CdFe2 crystal from the Alexandria database. Energies are from GGA-PBE.

- Formation energy: -84 meV/atom
- DOS(E_F): 8.529 states/eV/f.u.
- Total energy: -5.1748 eV/atom
- Magnetization: 2.44 Bohr magnetons per cell

Lattice parameters (Å, degrees): 7.5165 7.5165 8.7184 115.54 115.54 90.00
Last column: magnetic moment on the atom in μB.
Element x y z (fractional)
Ho 0.6944 0.1944 0.7302  -0.23
Ho 0.5357 0.6944 0.7302  -0.23
Ho 0.8056 0.9643 0.2698  -0.23
Ho 0.0000 0.0000 0.0000  -0.28
Ho 0.3056 0.8056 0.2698  -0.23
Ho 0.0357 0.5357 0.7302  -0.23
Ho 0.1944 0.0357 0.7302  -0.23
Ho 0.5000 0.5000 0.0000  -0.28
Ho 0.4643 0.3056 0.2698  -0.23
Ho 0.9643 0.4643 0.2698  -0.23
Fe 0.1088 0.3912 0.0000  1.35
Fe 0.3912 0.8912 0.0000  1.35
Fe 0.8912 0.6088 0.0000  1.35
Fe 0.6088 0.1088 0.0000  1.35
Cd 0.2500 0.2500 0.5000  0.01
Cd 0.7500 0.7500 0.5000  0.01

***

Here is a relaxed Pm4ThSb5 crystal from the Alexandria database. Energies are from GGA-PBE.

- Formation energy from raw total energies: -1.1446 eV/atom
- DOS(E_F): 3.634 states/eV/f.u.
- Total energy: -5.8481 eV/atom
- Magnetization: 0.00 Bohr magnetons per cell

Lattice parameters (Å, degrees): 4.5005 6.3572 11.8961 105.50 100.90 90.00
Element x y z (fractional)
Pm 0.3986 0.3986 0.7972
Pm 0.2014 0.2014 0.4028
Pm 0.6014 0.6014 0.2028
Pm 0.7986 0.7986 0.5972
Sb 0.5999 0.0999 0.1998
Sb 0.8000 0.3000 0.6000
Sb 0.0000 0.5000 0.0000
Sb 0.4001 0.9001 0.8002
Sb 0.2000 0.7000 0.4000
Th 0.0000 0.0000 0.0000

***

Here is a relaxed DyBRh3 crystal from the Alexandria database. Energies are from GGA-PBE.

- Formation energy: -799 meV/atom
- DOS(E_F): 4.643 states/eV/f.u.
- Total energy: -7.4660 eV/atom
- Magnetization: 0.00 Bohr magnetons per cell

Lattice parameters (Å, degrees): 4.2038 4.2038 4.2038 90.00 90.00 90.00
Element x y z (fractional)
Rh 0.5000 0.5000 0.0000
Rh 0.0000 0.5000 0.5000
Rh 0.5000 0.0000 0.5000
B 0.5000 0.5000 0.5000
Dy 0.0000 0.0000 0.0000

***

Here is a relaxed Nd2DyAu4 crystal from the Alexandria database. Energies are from GGA-PBE.

- Offset from the most stable computed form: 0.000 eV per atom
- Formation energy: -670 meV/atom
- DOS(E_F): 5.697 states/eV/f.u.
- Total energy: -4.5624 eV/atom
- Magnetization: 0.00 Bohr magnetons per cell

Lattice parameters (Å, degrees): 5.2862 5.2862 7.5406 110.52 110.52 90.00
Element x y z (fractional)
Dy 0.0000 0.0000 0.0000
Nd 0.2795 0.2795 0.5589
Nd 0.7205 0.7205 0.4411
Au 0.6142 0.1142 0.2285
Au 0.3858 0.8858 0.7715
Au 0.1142 0.6142 0.2285
Au 0.8858 0.3858 0.7715

***

Here is a relaxed Sm3PuTl3S8 crystal from the Alexandria database. Energies are from GGA-PBE.

- Formation energy from raw total energies: -1.4461 eV/atom
- DOS(E_F): 10.393 states/eV/f.u.
- Total energy: -6.0199 eV/atom
- Magnetization: 4.00 Bohr magnetons per cell

Lattice parameters (Å, degrees): 8.1860 8.1855 8.9063 117.37 90.00 120.00
Last column: magnetic moment on the atom in μB.
Element x y z (fractional)
Pu 0.0000 0.0000 0.5000  4.51
Tl 0.0000 0.5000 0.0000  0.00
Tl 0.0000 0.0000 0.0000  0.00
Tl 0.5000 0.5000 0.0000  0.00
S 0.2556 0.0304 0.3054  -0.07
S 0.2252 0.4504 0.6946  -0.07
S 0.7444 0.9696 0.6946  -0.07
S 0.2252 0.9696 0.6946  -0.07
S 0.7748 0.5496 0.3054  -0.07
S 0.7339 0.4678 0.7016  0.00
S 0.2661 0.5322 0.2984  0.00
S 0.7748 0.0304 0.3054  -0.07
Sm 0.5000 0.0000 0.5000  0.00
Sm 0.5000 0.5000 0.5000  0.00
Sm 0.0000 0.5000 0.5000  0.00

***

Here is a relaxed ReHg2P crystal from the Alexandria database. Energies are from GGA-PBE.

- Formation energy: 389 meV/atom
- DOS(E_F): 0.238 states/eV/f.u.
- Total energy: -4.2260 eV/atom
- Magnetization: 0.00 Bohr magnetons per cell

Lattice parameters (Å, degrees): 6.5915 6.5915 4.9090 68.22 68.22 25.74
Element x y z (fractional)
Hg 0.7523 0.7523 0.7478
Hg 0.9436 0.9436 0.0564
P 0.5776 0.5776 0.4225
Re 0.2266 0.2266 0.2734

***

Here is a relaxed TbTh2Al crystal from the Alexandria database. Energies are from GGA-PBE.

- Offset from the most stable computed form: 0.188 eV per atom
- Formation energy: 57 meV/atom
- DOS(E_F): 5.572 states/eV/f.u.
- Total energy: -5.7461 eV/atom
- Magnetization: 0.00 Bohr magnetons per cell

Lattice parameters (Å, degrees): 5.4405 5.4405 5.4405 60.00 60.00 60.00
Element x y z (fractional)
Th 0.7500 0.7500 0.7500
Th 0.2500 0.2500 0.2500
Al 0.5000 0.5000 0.5000
Tb 0.0000 0.0000 0.0000

***

Here is a relaxed Ta3MnB crystal from the Alexandria database. Energies are from GGA-PBE.

- Offset from the most stable computed form: 0.000 eV per atom
- Formation energy: 288 meV/atom
- DOS(E_F): 5.596 states/eV/f.u.
- Total energy: -9.9926 eV/atom
- Magnetization: 0.38 Bohr magnetons per cell

Lattice parameters (Å, degrees): 4.2977 4.2977 4.2977 90.00 90.00 90.00
Last column: magnetic moment on the atom in μB.
Element x y z (fractional)
Ta 0.5000 0.0000 0.0000  0.05
Ta 0.0000 0.5000 0.0000  0.06
Ta 0.0000 0.0000 0.5000  0.04
Mn 0.5000 0.5000 0.5000  0.18
B 0.0000 0.0000 0.0000  0.00

***

Calculated values (Å³ per cell) of volume for the records, taken in order: 200, 155, 749, 42, 398, 129, 542, 111, 676, 2753, 535, 390, 322, 74, 183, 438, 86, 114, 79.